1.
## AlTlNiTe3 (PBE-GGA)

Data for AlTlNiTe3 after structural relaxation.

Lattice parameters (Å, degrees): 3.9500 14.5533 11.3232 90.00 90.00 90.00
With the nearest neighbours (Å) after each atom.
Space group Cmcm (No. 63)
Symmetry-distinct sites (fractional):
Al  0.0000  0.0000  0.0000 [4 per cell]  6 Te 2.78-2.83
Tl  0.0000  0.2572  0.2500 [4 per cell]  2 Ni 2.90
Ni  0.0000  0.3884  0.7500 [4 per cell]  4 Te 2.53-2.55
Te  0.0000  0.0024  0.2500 [4 per cell]  2 Ni 2.53, 2 Al 2.83
Te  0.0000  0.3668  0.5268 [8 per cell]  1 Ni 2.55, 2 Al 2.78

---

2.
## Ta4GaAsN2 (PBE-GGA)

Data for Ta4GaAsN2 after structural relaxation.

Lattice parameters (Å, degrees): 3.0548 3.0548 13.6952 90.00 90.00 120.00
With the nearest neighbours (Å) after each atom.
Space group P-6m2 (No. 187)
Symmetry-distinct sites (fractional):
Ta  0.0000  0.0000  0.1435 [2 per cell]  3 N 2.24
Ta  0.6667  0.3333  0.3415 [2 per cell]  3 N 2.21
Ga  0.0000  0.0000  0.5000 [1 per cell]  6 Ta 2.80, 6 Ga 3.05
As  0.6667  0.3333  0.0000 [1 per cell]  6 Ta 2.64
N  0.3333  0.6667  0.2438 [2 per cell]  6 Ta 2.21-2.24

---

| no. | total magnetization (μB/cell) | E_tot (eV/atom) |
| --- | --- | --- |
| 1 | 0.03 | -3.753 |
| 2 | 0.00 | -9.514 |